No. 1
Below is a relaxed BeNb3Rh2 crystal, with properties calculated at the PBE level.

Values from the calculation:
Space group = Cmmm
Total moment = 0.00 μB per formula unit
E_tot = -8.326 eV per atom

Cell and atoms, written as CIF:
```
data_BeNb3Rh2
_space_group_name_H-M_alt 'P 1'
_space_group_IT_number 1
_cell_length_a 2.836
_cell_length_b 4.766
_cell_length_c 7.209
_cell_angle_alpha 109.30
_cell_angle_beta 90.00
_cell_angle_gamma 90.00
loop_
_space_group_symop_operation_xyz
'x,y,z'
loop_
_atom_site_label
_atom_site_type_symbol
_atom_site_fract_x
_atom_site_fract_y
_atom_site_fract_z
Be1 Be 0.000 0.000 0.000
Rh1 Rh 0.500 0.140 0.280
Rh2 Rh 0.500 0.860 0.720
Nb1 Nb 0.500 0.500 0.000
Nb2 Nb 0.000 0.319 0.638
Nb3 Nb 0.000 0.681 0.362
```



No. 2
Below is a relaxed Be2Nb2Rh crystal, with properties calculated at the PBE level.

Values from the calculation:
Space group = P4/mbm
Total moment = 0.00 μB per formula unit
E_tot = -7.363 eV per atom

Cell and atoms, written as CIF:
```
data_Be2Nb2Rh
_space_group_name_H-M_alt 'P 1'
_space_group_IT_number 1
_cell_length_a 6.151
_cell_length_b 6.151
_cell_length_c 3.517
_cell_angle_alpha 90.00
_cell_angle_beta 90.00
_cell_angle_gamma 90.00
loop_
_space_group_symop_operation_xyz
'x,y,z'
loop_
_atom_site_label
_atom_site_type_symbol
_atom_site_fract_x
_atom_site_fract_y
_atom_site_fract_z
Nb1 Nb 0.172 0.672 0.500
Nb2 Nb 0.328 0.172 0.500
Nb3 Nb 0.672 0.828 0.500
Nb4 Nb 0.828 0.328 0.500
Be1 Be 0.875 0.625 0.000
Be2 Be 0.375 0.875 0.000
Be3 Be 0.625 0.125 0.000
Be4 Be 0.125 0.375 0.000
Rh1 Rh 0.500 0.500 0.000
Rh2 Rh 0.000 0.000 0.000
```



No. 3
Below is a relaxed Be17NbRh crystal, with properties calculated at the PBE level.

Values from the calculation:
Space group = R3m
Total moment = 0.00 μB per formula unit
E_tot = -4.465 eV per atom

Cell and atoms, written as CIF:
```
data_Be17NbRh
_space_group_name_H-M_alt 'P 1'
_space_group_IT_number 1
_cell_length_a 5.521
_cell_length_b 5.521
_cell_length_c 5.521
_cell_angle_alpha 82.91
_cell_angle_beta 82.91
_cell_angle_gamma 82.91
loop_
_space_group_symop_operation_xyz
'x,y,z'
loop_
_atom_site_label
_atom_site_type_symbol
_atom_site_fract_x
_atom_site_fract_y
_atom_site_fract_z
Be1 Be 0.901 0.901 0.901
Be2 Be 0.347 0.858 0.347
Be3 Be 0.508 0.989 0.989
Be4 Be 0.295 0.005 0.699
Be5 Be 0.989 0.989 0.508
Be6 Be 0.648 0.168 0.648
Be7 Be 0.989 0.508 0.989
Be8 Be 0.347 0.347 0.858
Be9 Be 0.858 0.347 0.347
Be10 Be 0.005 0.699 0.295
Be11 Be 0.648 0.648 0.168
Be12 Be 0.102 0.102 0.102
Be13 Be 0.699 0.295 0.005
Be14 Be 0.005 0.295 0.699
Be15 Be 0.295 0.699 0.005
Be16 Be 0.699 0.005 0.295
Be17 Be 0.168 0.648 0.648
Rh1 Rh 0.335 0.335 0.335
Nb1 Nb 0.661 0.661 0.661
```